Entry 1:
DFT (GGA-PBE) results for CdSbPt2 after structural relaxation.

Cell lengths 3.398, 3.448, 7.255 Å; angles 61.64, 90.00, 90.00 degrees
Sites, in units of the cell vectors:
Pt 0.000 0.999 0.001
Pt 0.000 0.501 0.499
Sb 0.500 0.250 0.250
Cd 0.500 0.750 0.750

Values from the calculation:
The calculation puts the electronic total energy at -4.488 eV per atom. As for the excess energy over the best structure of this formula in the dataset: 180 meV/atom. The magnetization comes out at 0.000 μB/atom. Its theoretical density is 13.9 g cm⁻³. The density of states at the Fermi level comes out at 1.7 states/eV per cell. As for the uncorrected formation energy: -4.80 kcal/mol of atoms.

---

Entry 2:
DFT (GGA-PBE) results for CdSbPt3 after structural relaxation.

Cell lengths 4.949, 4.949, 4.949 Å; angles 90.00, 90.00, 90.00 degrees
Sites, in units of the cell vectors:
Pt 0.500 0.000 0.000
Pt 0.000 0.000 0.500
Pt 0.000 0.500 0.000
Cd 0.500 0.500 0.500
Sb 0.000 0.000 0.000

Values from the calculation:
The calculation puts the electronic total energy at -4.053 eV per atom. As for the excess energy over the best structure of this formula in the dataset: 0 meV/atom. The magnetization comes out at 0.000 μB/atom. Its theoretical density is 11.2 g cm⁻³. The density of states at the Fermi level comes out at 4.0 states/eV per cell. As for the uncorrected formation energy: 13.35 kcal/mol of atoms.

---

Entry 3:
DFT (GGA-PBE) results for Cd4SbPt15 after structural relaxation.

Cell lengths 4.036, 4.036, 20.367 Å; angles 90.00, 90.00, 90.00 degrees
Sites, in units of the cell vectors:
Pt 0.500 0.500 0.400
Pt 0.500 0.500 0.799
Pt 0.500 0.000 0.101
Pt 0.000 0.500 0.101
Pt 0.000 0.500 0.500
Pt 0.500 0.500 0.600
Pt 0.500 0.500 0.000
Pt 0.500 0.500 0.201
Pt 0.000 0.500 0.699
Pt 0.500 0.000 0.699
Pt 0.500 0.000 0.899
Pt 0.000 0.500 0.899
Pt 0.500 0.000 0.500
Pt 0.500 0.000 0.301
Pt 0.000 0.500 0.301
Cd 0.000 0.000 0.400
Cd 0.000 0.000 0.202
Cd 0.000 0.000 0.798
Cd 0.000 0.000 0.600
Sb 0.000 0.000 0.000

Values from the calculation:
The calculation puts the electronic total energy at -5.121 eV per atom. The magnetization comes out at 0.000 μB/atom. Its theoretical density is 17.5 g cm⁻³. The density of states at the Fermi level comes out at 21.4 states/eV per cell. As for the uncorrected formation energy: -4.65 kcal/mol of atoms.

---

Entry 4:
DFT (GGA-PBE) results for CdSbPt2 after structural relaxation.

Cell lengths 4.688, 4.688, 3.399 Å; angles 90.00, 90.00, 90.41 degrees
Sites, in units of the cell vectors:
Pt 0.000 0.000 0.000
Pt 0.500 0.500 0.000
Cd 0.000 0.500 0.500
Sb 0.500 0.000 0.500

Values from the calculation:
The calculation puts the electronic total energy at -4.468 eV per atom. As for the excess energy over the best structure of this formula in the dataset: 200 meV/atom. The magnetization comes out at 0.000 μB/atom. Its theoretical density is 13.9 g cm⁻³. The density of states at the Fermi level comes out at 2.0 states/eV per cell. As for the uncorrected formation energy: -4.34 kcal/mol of atoms.

---

Entry 5:
DFT (GGA-PBE) results for CdSbPt2 after structural relaxation.

Cell lengths 6.753, 6.753, 6.753 Å; angles 33.50, 33.50, 33.50 degrees
Sites, in units of the cell vectors:
Pt 0.005 0.005 0.005
Pt 0.495 0.495 0.495
Cd 0.250 0.250 0.250
Sb 0.750 0.750 0.750

Values from the calculation:
The calculation puts the electronic total energy at -4.451 eV per atom. As for the excess energy over the best structure of this formula in the dataset: 217 meV/atom. The magnetization comes out at 0.000 μB/atom. Its theoretical density is 12.4 g cm⁻³. The density of states at the Fermi level comes out at 1.9 states/eV per cell. As for the uncorrected formation energy: -3.94 kcal/mol of atoms.

---

Entry 6:
DFT (GGA-PBE) results for CdSb4Pt after structural relaxation.

Cell lengths 6.109, 6.109, 6.109 Å; angles 60.00, 60.00, 60.00 degrees
Sites, in units of the cell vectors:
Sb 0.375 0.874 0.375
Sb 0.375 0.375 0.874
Sb 0.375 0.375 0.375
Sb 0.874 0.375 0.375
Pt 0.000 0.000 0.000
Cd 0.750 0.750 0.750

Values from the calculation:
The calculation puts the electronic total energy at -3.326 eV per atom. The magnetization comes out at 0.000 μB/atom. Its theoretical density is 8.2 g cm⁻³. The density of states at the Fermi level comes out at 3.0 states/eV per cell. As for the uncorrected formation energy: 13.40 kcal/mol of atoms.

---

Entry 7:
DFT (GGA-PBE) results for CdSbPt2 after structural relaxation.

Cell lengths 3.747, 3.747, 5.521 Å; angles 90.00, 90.00, 90.00 degrees
Sites, in units of the cell vectors:
Sb 0.000 0.000 0.448
Cd 0.500 0.500 0.798
Pt 0.500 0.500 0.292
Pt 0.000 0.000 0.963

Values from the calculation:
The calculation puts the electronic total energy at -4.528 eV per atom. As for the excess energy over the best structure of this formula in the dataset: 140 meV/atom. The magnetization comes out at 0.000 μB/atom. Its theoretical density is 13.4 g cm⁻³. The density of states at the Fermi level comes out at 1.9 states/eV per cell. As for the uncorrected formation energy: -5.71 kcal/mol of atoms.

---

Entry 8:
DFT (GGA-PBE) results for Cd2SbPt after structural relaxation.

Cell lengths 3.241, 4.099, 6.307 Å; angles 90.00, 90.00, 90.00 degrees
Sites, in units of the cell vectors:
Sb 0.500 0.500 0.750
Cd 0.000 0.000 0.471
Cd 0.000 0.000 0.029
Pt 0.500 0.500 0.250

Values from the calculation:
The calculation puts the electronic total energy at -3.041 eV per atom. The magnetization comes out at 0.000 μB/atom. Its theoretical density is 10.7 g cm⁻³. The density of states at the Fermi level comes out at 1.2 states/eV per cell. As for the uncorrected formation energy: -0.98 kcal/mol of atoms.

---

Entry 9:
DFT (GGA-PBE) results for Cd2SbPt after structural relaxation.

Cell lengths 5.207, 5.207, 6.776 Å; angles 68.05, 68.05, 34.43 degrees
Sites, in units of the cell vectors:
Pt 0.552 0.552 0.602
Cd 0.980 0.980 0.989
Cd 0.805 0.805 0.663
Sb 0.163 0.163 0.245

Values from the calculation:
The calculation puts the electronic total energy at -3.150 eV per atom. The magnetization comes out at 0.000 μB/atom. Its theoretical density is 9.4 g cm⁻³. The density of states at the Fermi level comes out at 1.1 states/eV per cell. As for the uncorrected formation energy: -3.50 kcal/mol of atoms.

---

Entry 10:
DFT (GGA-PBE) results for Cd2Sb2Pt after structural relaxation.

Cell lengths 7.027, 7.027, 5.161 Å; angles 90.00, 90.00, 90.00 degrees
Sites, in units of the cell vectors:
Sb 0.846 0.654 0.000
Sb 0.346 0.846 0.000
Sb 0.154 0.346 0.000
Sb 0.654 0.154 0.000
Cd 0.667 0.833 0.500
Cd 0.833 0.333 0.500
Cd 0.333 0.167 0.500
Cd 0.167 0.667 0.500
Pt 0.500 0.500 0.000
Pt 0.000 0.000 0.000

Values from the calculation:
The calculation puts the electronic total energy at -3.203 eV per atom. The magnetization comes out at 0.000 μB/atom. Its theoretical density is 8.6 g cm⁻³. The density of states at the Fermi level comes out at 3.2 states/eV per cell. As for the uncorrected formation energy: 0.47 kcal/mol of atoms.

---

Entry 11:
DFT (GGA-PBE) results for Cd2SbPt after structural relaxation.

Cell lengths 9.362, 9.362, 9.362 Å; angles 20.51, 20.51, 20.51 degrees
Sites, in units of the cell vectors:
Cd 0.990 0.990 0.990
Cd 0.510 0.510 0.510
Sb 0.750 0.750 0.750
Pt 0.250 0.250 0.250

Values from the calculation:
The calculation puts the electronic total energy at -2.963 eV per atom. The magnetization comes out at 0.000 μB/atom. Its theoretical density is 10.2 g cm⁻³. The density of states at the Fermi level comes out at 1.1 states/eV per cell. As for the uncorrected formation energy: 0.81 kcal/mol of atoms.

---

Entry 12:
DFT (GGA-PBE) results for CdSbPt6 after structural relaxation.

Cell lengths 4.053, 4.053, 8.125 Å; angles 90.00, 90.00, 90.00 degrees
Sites, in units of the cell vectors:
Pt 0.500 0.500 0.500
Pt 0.500 0.500 0.000
Pt 0.000 0.500 0.750
Pt 0.000 0.500 0.250
Pt 0.500 0.000 0.750
Pt 0.500 0.000 0.250
Sb 0.000 0.000 0.500
Cd 0.000 0.000 0.000

Values from the calculation:
The calculation puts the electronic total energy at -5.400 eV per atom. The magnetization comes out at 0.000 μB/atom. Its theoretical density is 17.5 g cm⁻³. The density of states at the Fermi level comes out at 6.9 states/eV per cell. As for the uncorrected formation energy: -5.54 kcal/mol of atoms.

---

Entry 13:
DFT (GGA-PBE) results for CdSbPt2 after structural relaxation.

Cell lengths 7.503, 7.503, 6.038 Å; angles 51.59, 51.59, 90.00 degrees
Sites, in units of the cell vectors:
Pt 0.875 0.892 0.750
Pt 0.642 0.125 0.250
Pt 0.375 0.358 0.750
Pt 0.108 0.625 0.250
Sb 0.750 0.250 0.500
Sb 0.000 0.000 0.000
Cd 0.250 0.750 0.500
Cd 0.500 0.500 0.000

Values from the calculation:
The calculation puts the electronic total energy at -4.344 eV per atom. As for the excess energy over the best structure of this formula in the dataset: 323 meV/atom. The magnetization comes out at 0.000 μB/atom. Its theoretical density is 12.8 g cm⁻³. The density of states at the Fermi level comes out at 4.3 states/eV per cell. As for the uncorrected formation energy: -1.48 kcal/mol of atoms.

---

Entry 14:
DFT (GGA-PBE) results for Cd8SbPt6 after structural relaxation.

Cell lengths 7.256, 7.256, 7.256 Å; angles 66.55, 66.55, 66.55 degrees
Sites, in units of the cell vectors:
Cd 0.525 0.886 0.228
Cd 0.772 0.475 0.114
Cd 0.228 0.525 0.886
Cd 0.334 0.334 0.334
Cd 0.475 0.114 0.772
Cd 0.666 0.666 0.666
Cd 0.886 0.228 0.525
Cd 0.114 0.772 0.475
Pt 0.273 0.951 0.629
Pt 0.951 0.629 0.273
Pt 0.629 0.273 0.951
Pt 0.049 0.371 0.727
Pt 0.371 0.727 0.049
Pt 0.727 0.049 0.371
Sb 0.000 0.000 0.000

Values from the calculation:
The calculation puts the electronic total energy at -3.463 eV per atom. The magnetization comes out at 0.000 μB/atom. Its theoretical density is 11.8 g cm⁻³. The density of states at the Fermi level comes out at 8.4 states/eV per cell. As for the uncorrected formation energy: -6.56 kcal/mol of atoms.

---

Entry 15:
DFT (GGA-PBE) results for Cd2SbPt after structural relaxation.

Cell lengths 4.812, 6.136, 3.317 Å; angles 73.51, 91.99, 113.67 degrees
Sites, in units of the cell vectors:
Cd 0.000 0.000 0.000
Cd 0.500 0.000 0.500
Sb 0.500 0.500 0.000
Pt 0.000 0.500 0.500

Values from the calculation:
The calculation puts the electronic total energy at -2.995 eV per atom. The magnetization comes out at 0.000 μB/atom. Its theoretical density is 10.5 g cm⁻³. The density of states at the Fermi level comes out at 1.3 states/eV per cell. As for the uncorrected formation energy: 0.07 kcal/mol of atoms.

---

Entry 16:
DFT (GGA-PBE) results for Cd2SbPt after structural relaxation.

Cell lengths 5.395, 5.395, 5.395 Å; angles 132.92, 133.12, 68.62 degrees
Sites, in units of the cell vectors:
Cd 0.000 0.000 0.000
Cd 0.500 0.500 0.000
Pt 0.750 0.250 0.500
Sb 0.250 0.750 0.500

Values from the calculation:
The calculation puts the electronic total energy at -3.049 eV per atom. The magnetization comes out at 0.000 μB/atom. Its theoretical density is 10.9 g cm⁻³. The density of states at the Fermi level comes out at 1.0 states/eV per cell. As for the uncorrected formation energy: -1.18 kcal/mol of atoms.

---

Entry 17:
DFT (GGA-PBE) results for CdSbPt2 after structural relaxation.

Cell lengths 4.198, 3.581, 5.434 Å; angles 73.20, 90.00, 90.00 degrees
Sites, in units of the cell vectors:
Cd 0.500 0.771 0.838
Sb 0.000 0.479 0.422
Pt 0.500 0.016 0.300
Pt 0.000 0.234 0.941

Values from the calculation:
The calculation puts the electronic total energy at -4.554 eV per atom. As for the excess energy over the best structure of this formula in the dataset: 113 meV/atom. The magnetization comes out at 0.000 μB/atom. Its theoretical density is 13.3 g cm⁻³. The density of states at the Fermi level comes out at 2.0 states/eV per cell. As for the uncorrected formation energy: -6.32 kcal/mol of atoms.

---

Entry 18:
DFT (GGA-PBE) results for Sr2CdSb3Pt4 after structural relaxation.

Cell lengths 4.704, 4.704, 10.665 Å; angles 90.00, 90.00, 90.00 degrees
Sites, in units of the cell vectors:
Cd 0.500 0.500 0.500
Pt 0.500 0.000 0.630
Pt 0.000 0.500 0.370
Pt 0.000 0.000 0.000
Pt 0.500 0.500 0.000
Sb 0.000 0.500 0.125
Sb 0.000 0.000 0.500
Sb 0.500 0.000 0.875
Sr 0.500 0.000 0.243
Sr 0.000 0.500 0.757

Values from the calculation:
The calculation puts the electronic total energy at -4.843 eV per atom. The magnetization comes out at 0.000 μB/atom. Its theoretical density is 10.1 g cm⁻³. The density of states at the Fermi level comes out at 3.1 states/eV per cell. As for the uncorrected formation energy: -17.57 kcal/mol of atoms.

---

Entry 19:
DFT (GGA-PBE) results for Sr2CdSb4Pt3 after structural relaxation.

Cell lengths 4.724, 4.724, 11.132 Å; angles 90.00, 90.00, 90.00 degrees
Sites, in units of the cell vectors:
Cd 0.500 0.500 0.500
Sr 0.500 0.000 0.247
Sr 0.000 0.500 0.753
Sb 0.500 0.500 0.000
Sb 0.500 0.000 0.642
Sb 0.000 0.000 0.000
Sb 0.000 0.500 0.358
Pt 0.000 0.500 0.121
Pt 0.000 0.000 0.500
Pt 0.500 0.000 0.879

Values from the calculation:
The calculation puts the electronic total energy at -4.588 eV per atom. The magnetization comes out at 0.000 μB/atom. Its theoretical density is 9.1 g cm⁻³. The density of states at the Fermi level comes out at 3.0 states/eV per cell. As for the uncorrected formation energy: -16.11 kcal/mol of atoms.

---

Entry 20:
DFT (GGA-PBE) results for CdSbTe2Pt after structural relaxation.

Cell lengths 5.540, 5.540, 5.057 Å; angles 90.00, 90.00, 90.00 degrees
Sites, in units of the cell vectors:
Pt 0.000 0.000 0.000
Sb 0.000 0.000 0.500
Te 0.500 0.000 0.000
Te 0.000 0.500 0.000
Cd 0.500 0.500 0.500

Values from the calculation:
The calculation puts the electronic total energy at -3.165 eV per atom. As for the excess energy over the best structure of this formula in the dataset: 0 meV/atom. The magnetization comes out at 0.000 μB/atom. Its theoretical density is 7.3 g cm⁻³. The density of states at the Fermi level comes out at 4.7 states/eV per cell. As for the uncorrected formation energy: 7.08 kcal/mol of atoms.